No. 1
Here is crystalline NdZrHg at its relaxed geometry from Alexandria. Energies are from PBE.

The structure in POSCAR format:
```
NdZrHg
1.0
4.495 0.027 -0.207
-0.038 4.495 -0.207
-1.855 -1.882 8.267
Nd Zr Hg
2 2 2
Direct
0.675 0.675 0.350 Nd
0.325 0.325 0.650 Nd
0.500 0.000 0.000 Zr
0.000 0.500 0.000 Zr
0.873 0.873 0.744 Hg
0.127 0.127 0.256 Hg
```

The calculated density comes out at 8.85 g cm⁻³. Its energy relative to the lowest polymorph listed for this composition is 0 meV/atom. Its energy of formation from the pure elements is -0.5 eV/f.u.

No. 2
Here is crystalline TaZnPd3 at its relaxed geometry from Alexandria. Energies are from PBE.

The structure in POSCAR format:
```
TaZnPd3
1.0
4.531 0.000 0.000
0.000 4.531 0.000
0.000 0.000 4.531
Zn Ta Pd
1 1 3
Direct
0.000 0.000 0.000 Zn
0.500 0.500 0.500 Ta
0.000 0.000 0.500 Pd
0.500 0.000 0.000 Pd
0.000 0.500 0.000 Pd
```

The calculated density comes out at 10.10 g cm⁻³. Its energy relative to the lowest polymorph listed for this composition is 0 meV/atom. Its energy of formation from the pure elements is 3.6 eV/f.u.

No. 3
Here is crystalline Sr2RhSeI at its relaxed geometry from Alexandria. Energies are from PBE.

The structure in POSCAR format:
```
Sr2RhSeI
1.0
5.902 0.000 0.000
0.000 5.560 0.000
0.000 0.000 5.902
Rh Sr Se I
1 2 1 1
Direct
0.500 0.500 0.500 Rh
0.500 0.000 0.000 Sr
0.000 0.000 0.500 Sr
0.000 0.000 0.000 Se
0.000 0.500 0.000 I
```

The calculated density comes out at 4.15 g cm⁻³. As for the uncorrected formation energy: -40.7 meV per atom.

No. 4
Here is crystalline CeHo2Al9 at its relaxed geometry from Alexandria. Energies are from PBE.

The structure in POSCAR format:
```
CeHo2Al9
1.0
-1.105 5.418 0.566
-4.941 1.640 1.948
1.153 2.141 9.052
Al Ho Ce
9 2 1
Direct
0.077 0.587 0.749 Al
0.587 0.077 0.749 Al
0.335 0.335 0.995 Al
0.923 0.413 0.251 Al
0.665 0.665 0.005 Al
0.500 0.500 0.500 Al
0.413 0.923 0.251 Al
0.413 0.413 0.251 Al
0.587 0.587 0.749 Al
0.859 0.859 0.422 Ho
0.141 0.141 0.578 Ho
0.000 0.000 0.000 Ce
```

The calculated density comes out at 5.02 g cm⁻³. Its energy of formation from the pure elements is -4.7 eV/f.u.

No. 5
Here is crystalline SrYGe2Pd5 at its relaxed geometry from Alexandria. Energies are from PBE.

The structure in POSCAR format:
```
SrYGe2Pd5
1.0
-4.148 1.025 -0.997
-1.328 -1.628 3.852
1.077 8.014 3.759
Pd Y Ge Sr
5 1 2 1
Direct
0.000 0.500 0.262 Pd
0.500 0.500 0.500 Pd
0.500 0.000 0.262 Pd
0.000 0.500 0.738 Pd
0.500 0.000 0.738 Pd
0.000 0.000 0.000 Y
0.500 0.500 0.140 Ge
0.500 0.500 0.860 Ge
0.000 0.000 0.500 Sr
```

The calculated density comes out at 8.26 g cm⁻³. Its energy of formation from the pure elements is -6.0 eV/f.u.

No. 6
Here is crystalline CdFeAu2 at its relaxed geometry from Alexandria. Energies are from PBE.

The structure in POSCAR format:
```
CdFeAu2
1.0
3.959 0.000 0.000
0.000 3.959 0.000
1.979 1.979 9.663
Cd Au Fe
2 4 2
Direct
0.750 0.250 0.500 Cd
0.000 0.000 0.000 Cd
0.375 0.382 0.750 Au
0.618 0.125 0.250 Au
0.875 0.868 0.750 Au
0.132 0.625 0.250 Au
0.250 0.750 0.500 Fe
0.500 0.500 0.000 Fe
```

The calculated density comes out at 12.33 g cm⁻³. Its energy of formation from the pure elements is 1.4 eV/f.u.

No. 7
Here is crystalline BeF2 at its relaxed geometry from Alexandria. Energies are from PBE.

The structure in POSCAR format:
```
BeF2
1.0
2.613 0.000 0.000
-1.307 2.260 0.117
0.000 -0.281 4.589
F Be
2 1
Direct
0.335 0.670 0.696 F
0.665 0.330 0.304 F
0.000 0.000 0.500 Be
```

The calculated density comes out at 2.87 g cm⁻³. As for the uncorrected formation energy: -2933.5 meV per atom. Its energy relative to the lowest polymorph listed for this composition is 340 meV/atom.

No. 8
Here is crystalline PmGa2Co at its relaxed geometry from Alexandria. Energies are from PBE.

The structure in POSCAR format:
```
PmGa2Co
1.0
-0.194 3.628 -1.865
1.528 -1.705 -3.475
-9.019 -0.990 -0.988
Co Ga Pm
2 4 2
Direct
0.500 0.572 0.145 Co
0.500 0.428 0.855 Co
0.000 0.500 0.000 Ga
0.500 0.000 0.000 Ga
0.500 0.708 0.415 Ga
0.500 0.292 0.585 Ga
0.000 0.143 0.285 Pm
0.000 0.857 0.715 Pm
```

The calculated density comes out at 7.55 g cm⁻³. Its energy relative to the lowest polymorph listed for this composition is 0 meV/atom. Its energy of formation from the pure elements is -2.1 eV/f.u.